Record 1
DFT (GGA-PBE) results for crystalline GeRhIO2 at its relaxed geometry.

Raw formation energy ... -0.1471 eV/atom
Energy relative to the lowest polymorph listed for this composition ... 0 meV per atom
SG ... No. 123
VASP energy ... -4.83 eV/atom

Cell lengths 3.677, 3.677, 7.667 Å; angles 90.00, 90.00, 90.00 degrees
Positions (direct):
Ge 0.000 0.000 0.000
Rh 0.500 0.500 0.500
I 0.000 0.000 0.500
O 0.000 0.500 0.000
O 0.500 0.000 0.000

***

Record 2
DFT (GGA-PBE) results for crystalline GeRuI2O at its relaxed geometry.

Raw formation energy ... 0.4541 eV/atom
Energy relative to the lowest polymorph listed for this composition ... 439 meV per atom
SG ... No. 123
VASP energy ... -3.94 eV/atom

Cell lengths 5.746, 5.746, 3.686 Å; angles 90.00, 90.00, 90.00 degrees
Positions (direct):
Ge 0.000 0.000 0.000
Ru 0.500 0.500 0.500
I 0.000 0.500 0.000
I 0.500 0.000 0.000
O 0.000 0.000 0.500

***

Record 3
DFT (GGA-PBE) results for crystalline GeRuI2O at its relaxed geometry.

Raw formation energy ... 0.0149 eV/atom
Energy relative to the lowest polymorph listed for this composition ... 0 meV per atom
SG ... No. 123
VASP energy ... -4.38 eV/atom

Cell lengths 5.590, 5.590, 3.769 Å; angles 90.00, 90.00, 90.00 degrees
Positions (direct):
Ge 0.000 0.000 0.000
Ru 0.500 0.500 0.500
I 0.000 0.500 0.500
I 0.500 0.000 0.500
O 0.500 0.500 0.000

***

Record 4
DFT (GGA-PBE) results for crystalline GeSI2O at its relaxed geometry.

Raw formation energy ... 0.3079 eV/atom
Energy relative to the lowest polymorph listed for this composition ... 88 meV per atom
SG ... No. 123
VASP energy ... -3.05 eV/atom

Cell lengths 5.691, 5.691, 3.659 Å; angles 90.00, 90.00, 90.00 degrees
Positions (direct):
Ge 0.000 0.000 0.000
S 0.500 0.500 0.500
I 0.000 0.500 0.500
I 0.500 0.000 0.500
O 0.500 0.500 0.000

***

Q: What is the formula in the first record?
A: GeRhIO2

***

Q: Which value of energy relative to the lowest polymorph listed for this composition does entry 1 give?
A: 0 meV per atom